1.
First-principles (GGA-PBE) data for an optimized crystal structure of Na3HoAl2Se6, as listed in the Alexandria database.

Computed properties:
**Total DFT energy (no corrections)**: -51.310 eV per cell
**Spin magnetization**: 0.0 Bohr magnetons per cell
**ΔE_f (raw)**: -116 kJ/mol of atoms

The structure in POSCAR format:
```
Na3HoAl2Se6
1.0
3.3813 -5.8618 0.0000
3.3813 5.8618 0.0000
-2.2762 0.0000 7.0033
Na Ho Al Se
3 1 2 6
Direct
0.0000 0.0000 0.0000
0.3391 0.6609 0.0000
0.6609 0.3391 0.0000
0.5000 0.5000 0.5000
0.1679 0.8321 0.5000
0.8321 0.1679 0.5000
0.0693 0.4286 0.2890
0.2113 0.2113 0.7108
0.4286 0.0693 0.2890
0.5714 0.9307 0.7110
0.7887 0.7887 0.2892
0.9307 0.5714 0.7110
```



2.
First-principles (GGA-PBE) data for an optimized crystal structure of PmY3Tm2Te6, as listed in the Alexandria database.

Computed properties:
**Total DFT energy (no corrections)**: -67.308 eV per cell
**Spin magnetization**: 0.0 Bohr magnetons per cell
**ΔE_f (raw)**: -124 kJ/mol of atoms

The structure in POSCAR format:
```
PmY3Tm2Te6
1.0
9.4951 -2.1652 0.0000
9.4951 2.1652 0.0000
-1.9060 0.0000 8.5718
Pm Y Tm Te
1 3 2 6
Direct
0.0000 0.0000 0.0000
0.0000 0.0000 0.5000
0.3407 0.3407 0.1655
0.6593 0.6593 0.8345
0.3365 0.3365 0.6695
0.6635 0.6635 0.3305
0.1696 0.1696 0.5821
0.1722 0.1722 0.0914
0.4966 0.4966 0.7422
0.5034 0.5034 0.2578
0.8278 0.8278 0.9086
0.8304 0.8304 0.4179
```



3.
First-principles (GGA-PBE) data for an optimized crystal structure of TmCu2AgF8, as listed in the Alexandria database.

Computed properties:
**Total DFT energy (no corrections)**: -57.595 eV per cell
**Spin magnetization**: 2.0 Bohr magnetons per cell
**ΔE_f (raw)**: -218 kJ/mol of atoms

The structure in POSCAR format:
```
TmCu2AgF8
1.0
-2.7507 2.7507 5.2997
2.7507 -2.7507 5.2997
2.7507 2.7507 -5.2997
Tm Cu Ag F
1 2 1 8
Direct
0.0000 0.0000 0.0000
0.5000 0.5000 0.0000
0.7500 0.2500 0.5000
0.2500 0.7500 0.5000
0.2602 0.7223 0.0936
0.2777 0.3713 0.5379
0.3812 0.0488 0.0705
0.6287 0.1666 0.9064
0.6894 0.6188 0.6676
0.8334 0.7398 0.4621
0.9512 0.0217 0.3324
0.9783 0.3106 0.9295
```



4.
First-principles (GGA-PBE) data for an optimized crystal structure of CeThIrPd, as listed in the Alexandria database.

Computed properties:
**Formation energy from the elements**: -0.6869 eV/atom
**Total DFT energy (no corrections)**: -30.155 eV per cell
**Spin magnetization**: 0.8 Bohr magnetons per cell

The structure in POSCAR format:
```
CeThIrPd
1.0
0.0000 3.5655 3.5655
3.5655 0.0000 3.5655
3.5655 3.5655 0.0000
Ce Th Ir Pd
1 1 1 1
Direct
0.0000 0.0000 0.0000
0.5000 0.5000 0.5000
0.2500 0.2500 0.2500
0.7500 0.7500 0.7500
```



5.
First-principles (GGA-PBE) data for an optimized crystal structure of Y3HgN, as listed in the Alexandria database.

Computed properties:
**Total DFT energy (no corrections)**: -64.827 eV per cell
**Spin magnetization**: 0.0 Bohr magnetons per cell
**ΔE_f (raw)**: -85 kJ/mol of atoms

The structure in POSCAR format:
```
Y3HgN
1.0
5.7671 0.0000 0.0000
0.0057 6.7941 0.0000
0.0027 3.3970 5.8843
Y Hg N
6 2 2
Direct
0.2497 0.1065 0.2126
0.2499 0.2126 0.6810
0.2504 0.6809 0.1065
0.7496 0.3191 0.8935
0.7501 0.7874 0.3190
0.7503 0.8935 0.7874
0.2500 0.6667 0.6667
0.7500 0.3333 0.3333
0.0000 0.0000 0.0000
0.5000 0.0000 0.0000
```



6.
First-principles (GGA-PBE) data for an optimized crystal structure of La5Sm3Tm, as listed in the Alexandria database.

Computed properties:
**Formation energy from the elements**: 0.2837 eV/atom
**Total DFT energy (no corrections)**: -81.425 eV per cell
**Spin magnetization**: 0.0 Bohr magnetons per cell

The structure in POSCAR format:
```
La5Sm3Tm
1.0
-4.7161 4.7161 7.2655
4.7161 -4.7161 7.2655
4.7161 4.7161 -7.2655
La Sm Tm
10 6 2
Direct
0.0000 0.0000 0.0000
0.0687 0.5687 0.9110
0.1577 0.0687 0.5000
0.3423 0.8423 0.9110
0.4313 0.3423 0.5000
0.5000 0.5000 0.0000
0.5687 0.6577 0.5000
0.6577 0.1577 0.0890
0.8423 0.9313 0.5000
0.9313 0.4313 0.0890
0.1101 0.3899 0.5000
0.2500 0.2500 0.0000
0.3899 0.8899 0.2798
0.6101 0.1101 0.7202
0.7500 0.7500 0.0000
0.8899 0.6101 0.5000
0.2500 0.7500 0.5000
0.7500 0.2500 0.5000
```



7.
First-principles (GGA-PBE) data for an optimized crystal structure of AcH4Au, as listed in the Alexandria database.

Computed properties:
**Total DFT energy (no corrections)**: -45.422 eV per cell
**Spin magnetization**: 0.0 Bohr magnetons per cell

The structure in POSCAR format:
```
AcH4Au
1.0
2.3031 -6.5150 0.0000
2.3031 6.5150 0.0000
-0.4430 0.0000 5.3523
Ac H Au
2 8 2
Direct
0.1294 0.8706 0.7500
0.8706 0.1294 0.2500
0.1731 0.2409 0.6205
0.2409 0.1731 0.1205
0.2989 0.6696 0.0276
0.3304 0.7011 0.4724
0.6696 0.2989 0.5276
0.7011 0.3304 0.9724
0.7591 0.8269 0.8795
0.8269 0.7591 0.3795
0.3864 0.6136 0.7500
0.6136 0.3864 0.2500
```



8.
First-principles (GGA-PBE) data for an optimized crystal structure of Ca2Cu3AgSn4, as listed in the Alexandria database.

Computed properties:
**Formation energy from the elements**: -0.2783 eV/atom
**Total DFT energy (no corrections)**: -37.937 eV per cell
**Spin magnetization**: 0.0 Bohr magnetons per cell

The structure in POSCAR format:
```
Ca2Cu3AgSn4
1.0
4.4847 0.0000 0.0000
0.0000 4.4847 0.0000
0.0000 0.0000 11.1749
Ca Cu Ag Sn
2 3 1 4
Direct
0.0000 0.5000 0.2451
0.5000 0.0000 0.7549
0.0000 0.0000 0.0000
0.0000 0.5000 0.6329
0.5000 0.0000 0.3671
0.5000 0.5000 0.0000
0.0000 0.0000 0.5000
0.0000 0.5000 0.8603
0.5000 0.0000 0.1397
0.5000 0.5000 0.5000
```